No. 1
Entry from the Alexandria database: a relaxed NaSrTlGe crystal (PBE).

Properties
**Space group**: F-43m, No. 216

a = 5.4253 Å, b = 5.4253 Å, c = 5.4253 Å
α = 60.00°, β = 60.00°, γ = 60.00°
Closest atoms and distances in Å follow each position.
Fractional coordinates of all 4 atoms:
1 Tl 0.7500 0.7500 0.7500  4 Na 3.32, 4 Sr 3.32
2 Ge 0.2500 0.2500 0.2500  4 Na 3.32, 4 Sr 3.32
3 Na 0.0000 0.0000 0.0000  4 Ge 3.32, 4 Tl 3.32
4 Sr 0.5000 0.5000 0.5000  4 Ge 3.32, 4 Tl 3.32

No. 2
Entry from the Alexandria database: a relaxed BaCo2IrSe8 crystal (PBE).

Properties
**Space group**: P-3, No. 147

a = 6.0407 Å, b = 6.0407 Å, c = 8.7327 Å
α = 90.00°, β = 90.00°, γ = 120.00°
Closest atoms and distances in Å follow each position.
Fractional coordinates of all 12 atoms:
1 Se 0.3333 0.6667 0.0077  1 Co 2.19
2 Se 0.3573 0.0133 0.6528  1 Co 2.22
3 Ba 0.0000 0.0000 0.0000  12 Se 3.49-3.70
4 Se 0.0133 0.6560 0.3472  1 Co 2.22
5 Se 0.9867 0.3440 0.6528  1 Co 2.22
6 Co 0.6667 0.3333 0.2425  4 Se 2.19-2.22
7 Se 0.6427 0.9867 0.3472  1 Co 2.22
8 Se 0.6560 0.6427 0.6528  1 Co 2.22
9 Se 0.3440 0.3573 0.3472  1 Co 2.22
10 Co 0.3333 0.6667 0.7575  4 Se 2.19-2.22
11 Se 0.6667 0.3333 0.9923  1 Co 2.19
12 Ir 0.0000 0.0000 0.5000  6 Se 2.50

No. 3
Entry from the Alexandria database: a relaxed SmH4Rh crystal (PBE).

Properties
**Space group**: Immm, No. 71

a = 3.9203 Å, b = 4.4984 Å, c = 4.4984 Å
α = 61.75°, β = 64.17°, γ = 64.17°
Closest atoms and distances in Å follow each position.
Fractional coordinates of all 6 atoms:
1 Sm 0.0019 0.5027 0.4987  12 H 2.50-2.52
2 H 0.3300 0.4379 0.9068  1 Rh 1.67
3 H 0.6737 0.5676 0.0906  1 Rh 1.67
4 H 0.3300 0.9108 0.4339  1 Rh 1.67
5 H 0.6737 0.0946 0.5636  1 Rh 1.67
6 Rh 0.5019 0.0027 0.9987  4 H 1.67

No. 4
Entry from the Alexandria database: a relaxed CaAgTeBr crystal (PBE).

Properties
**Space group**: R-3m, No. 166

a = 4.5306 Å, b = 4.5306 Å, c = 14.1919 Å
α = 80.82°, β = 80.82°, γ = 60.00°
Closest atoms and distances in Å follow each position.
Fractional coordinates of all 8 atoms:
1 Br 0.7069 0.7069 0.8792  3 Ca 2.97
2 Te 0.8824 0.8824 0.3527  4 Ag 2.88-2.89, 3 Ca 3.19
3 Te 0.1176 0.1176 0.6473  4 Ag 2.88-2.89, 3 Ca 3.19
4 Br 0.2931 0.2931 0.1208  3 Ca 2.97
5 Ca 0.4075 0.4075 0.7776  3 Br 2.97, 3 Te 3.19
6 Ca 0.5925 0.5925 0.2224  3 Br 2.97, 3 Te 3.19
7 Ag 0.1865 0.1865 0.4406  4 Te 2.88-2.89, 3 Ag 3.10
8 Ag 0.8135 0.8135 0.5594  4 Te 2.88-2.89, 3 Ag 3.10

no.,VASP energy (eV per atom)
1,-2.75
2,-4.76
3,-4.73
4,-3.60